[1]
VASP calculation (PBE) on a relaxed SrPb2SN crystal.

Results
Total energy ... -2.96 eV/atom
ΔE_f (raw) ... 1.3489 eV/atom
M_tot ... 1.92 Bohr magnetons per cell

Unit cell a=6.3523 b=5.3092 c=6.3523 alpha=90.00 beta=90.00 gamma=90.00
With the nearest neighbours (Å) after each atom.
Element x y z (fractional)
Sr 0.0000 0.0000 0.0000  2 S 2.65
S 0.0000 0.5000 0.0000  2 Sr 2.65
N 0.5000 0.5000 0.5000  8 Pb 4.14, 4 S 4.49
Pb 0.0000 0.0000 0.5000  2 Sr 3.18
Pb 0.5000 0.0000 0.0000  2 Sr 3.18

***

[2]
VASP calculation (PBE) on a relaxed ErThNb4 crystal.

Results
Formation energy from the elements ... 81 meV per atom
Total energy ... -8.63 eV/atom
M_tot ... 0.00 Bohr magnetons per cell

Unit cell a=5.7352 b=5.7352 c=5.7352 alpha=60.00 beta=60.00 gamma=60.00
With the nearest neighbours (Å) after each atom.
Element x y z (fractional)
Nb 0.1239 0.6254 0.6254  6 Nb 2.86-2.88
Nb 0.6254 0.1239 0.6254  6 Nb 2.86-2.88
Nb 0.6254 0.6254 0.1239  6 Nb 2.86-2.88
Nb 0.6254 0.6254 0.6254  6 Nb 2.86-2.88
Th 0.2500 0.2500 0.2500  12 Nb 3.36, 4 Er 3.51
Er 0.0000 0.0000 0.0000  12 Nb 3.36, 4 Th 3.51

***

[3]
VASP calculation (PBE) on a relaxed CdTeH3 crystal.

Results
Total energy ... -2.25 eV/atom
M_tot ... 0.00 Bohr magnetons per cell

Unit cell a=4.1853 b=4.1853 c=4.1853 alpha=90.00 beta=90.00 gamma=90.00
With the nearest neighbours (Å) after each atom.
Element x y z (fractional)
H 0.0000 0.5000 0.0000  2 Te 2.09
H 0.5000 0.0000 0.0000  2 Te 2.09
H 0.0000 0.0000 0.5000  2 Te 2.09
Te 0.0000 0.0000 0.0000  6 H 2.09
Cd 0.5000 0.5000 0.5000  12 H 2.96

***

[4]
VASP calculation (PBE) on a relaxed SmThPd2 crystal.

Results
Formation energy from the elements ... -805 meV per atom
Total energy ... -6.44 eV/atom
M_tot ... 0.00 Bohr magnetons per cell

Unit cell a=3.8136 b=4.6257 c=5.8078 alpha=90.00 beta=108.77 gamma=90.00
With the nearest neighbours (Å) after each atom.
Element x y z (fractional)
Th 0.4490 0.5000 0.4335  7 Pd 3.04-3.11
Pd 0.9934 0.0000 0.5239  3 Sm 2.99-3.16, 2 Pd 3.03, 4 Th 3.04
Pd 0.1696 0.5000 0.8796  2 Pd 3.03, 3 Th 3.05-3.11, 4 Sm 3.05
Sm 0.7190 0.0000 0.9810  7 Pd 2.99-3.16

***

[5]
VASP calculation (PBE) on a relaxed YLuAl4 crystal.

Results
Formation energy from the elements ... -504 meV per atom
Total energy ... -4.83 eV/atom
M_tot ... 0.00 Bohr magnetons per cell

Unit cell a=5.5273 b=5.5273 c=5.5273 alpha=60.00 beta=60.00 gamma=60.00
With the nearest neighbours (Å) after each atom.
Element x y z (fractional)
Al 0.6251 0.6251 0.1246  6 Al 2.76-2.77
Al 0.6251 0.6251 0.6251  6 Al 2.76-2.77
Al 0.1246 0.6251 0.6251  6 Al 2.76-2.77
Al 0.6251 0.1246 0.6251  6 Al 2.76-2.77
Lu 0.0000 0.0000 0.0000  12 Al 3.24, 4 Y 3.38
Y 0.2500 0.2500 0.2500  12 Al 3.24, 4 Lu 3.38

***

[6]
VASP calculation (PBE) on a relaxed AcPr2SmHo crystal.

Results
Formation energy from the elements ... 342 meV per atom
Total energy ... -4.25 eV/atom
M_tot ... 0.00 Bohr magnetons per cell

Unit cell a=7.4480 b=8.4061 c=7.4394 alpha=124.40 beta=90.00 gamma=90.00
With the nearest neighbours (Å) after each atom.
Element x y z (fractional)
Pr 0.0000 0.6970 0.0000  2 Sm 3.23, 1 Pr 3.31, 2 Ho 3.45
Pr 0.5000 0.6970 0.0000  2 Sm 3.23, 1 Pr 3.31, 2 Ho 3.45
Pr 0.0000 0.3030 0.0000  2 Sm 3.23, 1 Pr 3.31, 2 Ho 3.45
Pr 0.5000 0.3030 0.0000  2 Sm 3.23, 1 Pr 3.31, 2 Ho 3.45
Ho 0.2500 0.3057 0.6115  1 Sm 3.07
Ho 0.7500 0.6943 0.3885  1 Sm 3.07
Ac 0.7500 0.2419 0.4838  1 Sm 3.66, 2 Ho 3.81, 4 Pr 4.03
Ac 0.2500 0.7581 0.5162  1 Sm 3.66, 2 Ho 3.81, 4 Pr 4.03
Sm 0.7500 0.9441 0.8882  1 Ho 3.07, 4 Pr 3.23
Sm 0.2500 0.0559 0.1118  1 Ho 3.07, 4 Pr 3.23

***

[7]
VASP calculation (PBE) on a relaxed CaAlCd2Ru crystal.

Results
Formation energy from the elements ... -35 meV per atom
Total energy ... -3.40 eV/atom
M_tot ... 0.00 Bohr magnetons per cell

Unit cell a=5.1992 b=4.6674 c=5.1992 alpha=90.00 beta=90.00 gamma=90.00
With the nearest neighbours (Å) after each atom.
Element x y z (fractional)
Cd 0.0000 0.0000 0.5000  2 Ru 2.60
Cd 0.5000 0.0000 0.0000  2 Ru 2.60
Al 0.0000 0.5000 0.0000  2 Ru 2.33
Ca 0.5000 0.5000 0.5000  8 Cd 3.49, 4 Al 3.68
Ru 0.0000 0.0000 0.0000  2 Al 2.33, 4 Cd 2.60

***

[8]
VASP calculation (PBE) on a relaxed Tb7Ho12Sc crystal.

Results
Formation energy from the elements ... 282 meV per atom
Total energy ... -4.40 eV/atom
M_tot ... 0.00 Bohr magnetons per cell

Unit cell a=8.6120 b=8.6120 c=8.6120 alpha=94.85 beta=94.85 gamma=94.85
With the nearest neighbours (Å) after each atom.
Element x y z (fractional)
Tb 0.6554 0.9882 0.9227  1 Sc 2.98, 2 Ho 3.07-3.32, 1 Tb 3.10
Tb 0.0773 0.3446 0.0118  1 Sc 2.98, 2 Ho 3.07-3.32, 1 Tb 3.10
Tb 0.3446 0.0118 0.0773  1 Sc 2.98, 2 Ho 3.07-3.32, 1 Tb 3.10
Tb 0.0118 0.0773 0.3446  1 Sc 2.98, 2 Ho 3.07-3.32, 1 Tb 3.10
Tb 0.5000 0.5000 0.5000  6 Ho 3.08
Tb 0.9882 0.9227 0.6554  1 Sc 2.98, 2 Ho 3.07-3.32, 1 Tb 3.10
Tb 0.9227 0.6554 0.9882  1 Sc 2.98, 2 Ho 3.07-3.32, 1 Tb 3.10
Ho 0.7506 0.3219 0.1910  3 Tb 3.32-3.53, 3 Ho 3.33-3.54
Ho 0.8090 0.2494 0.6781  3 Tb 3.32-3.53, 3 Ho 3.33-3.54
Ho 0.3219 0.1910 0.7506  3 Tb 3.32-3.53, 3 Ho 3.33-3.54
Ho 0.4097 0.4748 0.1443  2 Tb 3.07-3.08, 2 Ho 3.08-3.33
Ho 0.2494 0.6781 0.8090  3 Tb 3.32-3.53, 3 Ho 3.33-3.54
Ho 0.8557 0.5903 0.5252  2 Tb 3.07-3.08, 2 Ho 3.08-3.33
Ho 0.4748 0.1443 0.4097  2 Tb 3.07-3.08, 2 Ho 3.08-3.33
Ho 0.5903 0.5252 0.8557  2 Tb 3.07-3.08, 2 Ho 3.08-3.33
Ho 0.5252 0.8557 0.5903  2 Tb 3.07-3.08, 2 Ho 3.08-3.33
Ho 0.1910 0.7506 0.3219  3 Tb 3.32-3.53, 3 Ho 3.33-3.54
Ho 0.6781 0.8090 0.2494  3 Tb 3.32-3.53, 3 Ho 3.33-3.54
Ho 0.1443 0.4097 0.4748  2 Tb 3.07-3.08, 2 Ho 3.08-3.33
Sc 0.0000 0.0000 0.0000  6 Tb 2.98

***

[9]
VASP calculation (PBE) on a relaxed Ca2AcAg2Ge2 crystal.

Results
Formation energy from the elements ... -479 meV per atom
Total energy ... -3.77 eV/atom
M_tot ... 0.00 Bohr magnetons per cell

Unit cell a=4.6892 b=4.6892 c=9.8099 alpha=76.17 beta=76.17 gamma=60.00
With the nearest neighbours (Å) after each atom.
Element x y z (fractional)
Ge 0.7457 0.7457 0.7630  3 Ag 2.71
Ge 0.2543 0.2543 0.2370  3 Ag 2.71
Ac 0.0000 0.0000 0.0000  6 Ag 3.47, 6 Ge 3.51, 2 Ca 3.68
Ca 0.8699 0.8699 0.3902  3 Ge 3.07, 3 Ag 3.10, 3 Ca 3.41
Ca 0.1301 0.1301 0.6098  3 Ge 3.07, 3 Ag 3.10, 3 Ca 3.41
Ag 0.4101 0.4101 0.7696  3 Ge 2.71
Ag 0.5899 0.5899 0.2304  3 Ge 2.71

***

[10]
VASP calculation (PBE) on a relaxed AlNi15Sb4 crystal.

Results
Total energy ... -5.55 eV/atom
ΔE_f (raw) ... -0.2063 eV/atom
M_tot ... 0.00 Bohr magnetons per cell

Unit cell a=3.7098 b=3.7098 c=18.3830 alpha=90.00 beta=90.00 gamma=90.00
With the nearest neighbours (Å) after each atom.
Element x y z (fractional)
Ni 0.5000 0.5000 0.1968  8 Ni 2.61-2.66, 4 Sb 2.62
Ni 0.5000 0.0000 0.0930  8 Ni 2.52-2.66, 2 Al 2.52, 2 Sb 2.60
Ni 0.5000 0.5000 0.3983  4 Sb 2.62, 8 Ni 2.63
Ni 0.5000 0.0000 0.9070  8 Ni 2.52-2.66, 2 Al 2.52, 2 Sb 2.60
Ni 0.5000 0.5000 0.0000  8 Ni 2.52, 4 Al 2.62
Ni 0.0000 0.5000 0.0930  8 Ni 2.52-2.66, 2 Al 2.52, 2 Sb 2.60
Ni 0.0000 0.5000 0.9070  8 Ni 2.52-2.66, 2 Al 2.52, 2 Sb 2.60
Ni 0.5000 0.0000 0.7035  8 Ni 2.61-2.63, 4 Sb 2.63-2.66
Ni 0.5000 0.5000 0.6017  4 Sb 2.62, 8 Ni 2.63
Ni 0.5000 0.5000 0.8032  8 Ni 2.61-2.66, 4 Sb 2.62
Ni 0.0000 0.5000 0.5000  8 Ni 2.62-2.63, 4 Sb 2.64
Ni 0.5000 0.0000 0.5000  8 Ni 2.62-2.63, 4 Sb 2.64
Ni 0.5000 0.0000 0.2965  8 Ni 2.61-2.63, 4 Sb 2.63-2.66
Ni 0.0000 0.5000 0.2965  8 Ni 2.61-2.63, 4 Sb 2.63-2.66
Ni 0.0000 0.5000 0.7035  8 Ni 2.61-2.63, 4 Sb 2.63-2.66
Sb 0.0000 0.0000 0.3978  12 Ni 2.62-2.64
Sb 0.0000 0.0000 0.6022  12 Ni 2.62-2.64
Sb 0.0000 0.0000 0.1924  12 Ni 2.60-2.66
Sb 0.0000 0.0000 0.8076  12 Ni 2.60-2.66
Al 0.0000 0.0000 0.0000  12 Ni 2.52-2.62

***

[11]
VASP calculation (PBE) on a relaxed YH3Rh crystal.

Results
Total energy ... -5.32 eV/atom
M_tot ... 0.00 Bohr magnetons per cell

Unit cell a=17.3139 b=4.4243 c=6.0831 alpha=90.00 beta=153.05 gamma=90.00
With the nearest neighbours (Å) after each atom.
Element x y z (fractional)
Rh 0.0428 0.2500 0.9607  4 H 1.64-1.83
Rh 0.5428 0.2500 0.4607  4 H 1.64-1.83
Rh 0.9572 0.7500 0.0393  4 H 1.64-1.83
Rh 0.4572 0.7500 0.5393  4 H 1.64-1.83
H 0.4070 0.4752 0.5816  1 Rh 1.64
H 0.3710 0.0019 0.1106  2 Rh 1.81-1.83
H 0.9031 0.4871 0.0910  1 Rh 1.69
H 0.4031 0.0129 0.5910  1 Rh 1.69
H 0.5969 0.9871 0.4090  1 Rh 1.69
H 0.1290 0.5019 0.3894  2 Rh 1.81-1.83
H 0.8710 0.4981 0.6106  2 Rh 1.81-1.83
H 0.0969 0.5129 0.9090  1 Rh 1.69
H 0.5930 0.5248 0.4184  1 Rh 1.64
H 0.9070 0.0248 0.0816  1 Rh 1.64
H 0.6290 0.9981 0.8894  2 Rh 1.81-1.83
H 0.0930 0.9752 0.9184  1 Rh 1.64
Y 0.3218 0.7440 0.6848  8 H 2.19-2.42
Y 0.8218 0.7560 0.1848  8 H 2.19-2.42
Y 0.6782 0.2560 0.3152  8 H 2.19-2.42
Y 0.1782 0.2440 0.8152  8 H 2.19-2.42

***

[12]
VASP calculation (PBE) on a relaxed Ac2Nd3Dy2 crystal.

Results
Formation energy from the elements ... 46 meV per atom
Total energy ... -4.49 eV/atom
M_tot ... 0.00 Bohr magnetons per cell

Unit cell a=5.2661 b=6.4849 c=9.8951 alpha=109.34 beta=74.54 gamma=66.07
With the nearest neighbours (Å) after each atom.
Element x y z (fractional)
Ac 0.7194 0.1380 0.4233  6 Nd 3.70-3.83, 3 Ac 3.76-3.78, 3 Dy 3.76-3.83
Ac 0.2806 0.8620 0.5767  6 Nd 3.70-3.83, 3 Ac 3.76-3.78, 3 Dy 3.76-3.83
Nd 0.0000 0.0000 0.0000  4 Nd 3.66, 6 Dy 3.67-3.75, 2 Ac 3.70
Nd 0.1553 0.4158 0.2739  4 Dy 3.60-3.77, 3 Nd 3.66-3.91, 5 Ac 3.74-3.83
Nd 0.8447 0.5842 0.7261  4 Dy 3.60-3.77, 3 Nd 3.66-3.91, 5 Ac 3.74-3.83
Dy 0.5832 0.6988 0.1345  7 Nd 3.60-3.77, 2 Dy 3.61, 3 Ac 3.76-3.83
Dy 0.4168 0.3012 0.8655  7 Nd 3.60-3.77, 2 Dy 3.61, 3 Ac 3.76-3.83